Density functional theory data (PBE-GGA) for Tm4NbN5 after structural relaxation.

Cell and atoms, written as extended XYZ:
```
10
Lattice="-3.723 3.723 2.358 3.723 -3.723 2.358 3.723 3.723 -2.358" Properties=species:S:1:pos:R:3 pbc="T T T"
Tm 5.232 0.732 0.000
Tm 0.732 2.215 0.000
Tm 2.992 1.509 2.358
Tm -1.509 2.992 2.358
Nb 0.000 0.000 2.358
N 0.000 0.000 0.000
N 2.996 1.564 0.000
N 2.159 -0.727 2.358
N 1.564 4.450 0.000
N 0.727 2.159 2.358
```

N(E_F): 2.1 states/eV per cell
Energy relative to the elements, uncorrected: -16.54 eV per formula unit
Space-group type: I4/m (87)